V2GeMoO6 | PBE with a Hubbard U | relaxed

Computed properties:
Total moment = 4.000 Bohr magnetons per cell
Space-group type = P1, No. 1
VASP energy = -7.319 eV per atom

Unit cell a=5.177 b=5.109 c=5.641 alpha=62.23 beta=63.50 gamma=61.29
Atoms (fractional coordinates):
V 0.523 0.518 0.449
O 0.959 0.592 0.231
O 0.219 0.949 0.236
O 0.703 0.116 0.777
O 0.404 0.706 0.772
Mo 0.814 0.818 0.547
O 0.594 0.224 0.234
O 0.120 0.405 0.767
Ge 0.320 0.320 0.046
V 0.006 0.014 0.957